No. 1
# TlTePH | the Alexandria database | PBE | relaxed
data_TlTePH
_cell_length_a 7.551
_cell_length_b 5.225
_cell_length_c 5.870
_cell_angle_alpha 90.00
_cell_angle_beta 116.66
_cell_angle_gamma 90.00
_space_group_name_H-M_alt 'C 1 m 1'
_space_group_IT_number 8
loop_
_space_group_symop_operation_xyz
'x,y,z'
'x,-y,z'
'x+1/2,y+1/2,z'
'x+1/2,-y+1/2,z'
loop_
_atom_site_label
_atom_site_type_symbol
_atom_site_fract_x
_atom_site_fract_y
_atom_site_fract_z
Tl1 Tl 0.000 0.000 0.000
Te1 Te 0.471 0.000 0.330
P1 P 0.460 0.000 0.746
H1 H 0.248 0.000 0.646
# * E above lowest polymorph: 10 meV/atom
# * volume: 25.87 Å³ per atom

---

No. 2
# Li3AcTl3 | the Alexandria database | PBE | relaxed
data_Li3AcTl3
_cell_length_a 7.240
_cell_length_b 5.003
_cell_length_c 10.346
_cell_angle_alpha 90.00
_cell_angle_beta 108.72
_cell_angle_gamma 90.00
_space_group_name_H-M_alt 'P 1 21/m 1'
_space_group_IT_number 11
loop_
_space_group_symop_operation_xyz
'x,y,z'
'-x,-y,-z'
'-x,y+1/2,-z'
'x,-y+1/2,z'
loop_
_atom_site_label
_atom_site_type_symbol
_atom_site_fract_x
_atom_site_fract_y
_atom_site_fract_z
Li1 Li 0.005 0.250 0.317
Li2 Li 0.070 0.750 0.148
Li3 Li 0.297 0.250 0.090
Ac1 Ac 0.354 0.250 0.728
Tl1 Tl 0.145 0.750 0.443
Tl2 Tl 0.272 0.750 0.946
Tl3 Tl 0.407 0.250 0.382
# * E_form: -0.252 eV/atom
# * E above lowest polymorph: 0 meV/atom
# * volume: 25.35 Å³ per atom

---

No. 3
# Rb3Ce3YSe8 | the Alexandria database | PBE | relaxed
data_Rb3Ce3YSe8
_cell_length_a 8.6171
_cell_length_b 8.6171
_cell_length_c 24.2796
_cell_angle_alpha 90.00
_cell_angle_beta 90.00
_cell_angle_gamma 120.00
_space_group_name_H-M_alt 'R -3 m'
_space_group_IT_number 166
_space_group_name_Hall '-R 3 2"'
loop_
_atom_site_label
_atom_site_type_symbol
_atom_site_fract_x
_atom_site_fract_y
_atom_site_fract_z
Rb1 Rb 0.0000 0.5000 0.0000
Ce1 Ce 0.0000 0.5000 0.5000
Y1 Y 0.0000 0.0000 0.5000
Se1 Se 0.0000 0.0000 0.2327
Se2 Se 0.0037 0.5018 0.2306
# * volume: 34.70 Å³ per atom
# * energy relative to the elements, uncorrected: -1.711 eV/atom

---

No. 4
# LiAc2HfS5 | the Alexandria database | PBE | relaxed
data_LiAc2HfS5
_cell_length_a 4.053
_cell_length_b 16.962
_cell_length_c 11.924
_cell_angle_alpha 90.00
_cell_angle_beta 90.00
_cell_angle_gamma 90.00
_space_group_name_H-M_alt 'C m c 21'
_space_group_IT_number 36
loop_
_space_group_symop_operation_xyz
'x,y,z'
'-x,-y,z+1/2'
'-x,y,z'
'x,-y,z+1/2'
'x+1/2,y+1/2,z'
'-x+1/2,-y+1/2,z+1/2'
'-x+1/2,y+1/2,z'
'x+1/2,-y+1/2,z+1/2'
loop_
_atom_site_label
_atom_site_type_symbol
_atom_site_fract_x
_atom_site_fract_y
_atom_site_fract_z
Li1 Li 0.000 0.051 0.000
Ac1 Ac 0.000 0.370 0.852
Ac2 Ac 0.000 0.387 0.240
Hf1 Hf 0.000 0.304 0.559
S1 S 0.000 0.004 0.320
S2 S 0.000 0.150 0.550
S3 S 0.000 0.191 0.913
S4 S 0.000 0.211 0.202
S5 S 0.000 0.446 0.595
# * volume: 22.77 Å³ per atom
# * energy relative to the elements, uncorrected: -1.848 eV/atom

---

No. 5
# Nd5Sc4Ge4 | the Alexandria database | PBE | relaxed
data_Nd5Sc4Ge4
_cell_length_a 12.428
_cell_length_b 12.428
_cell_length_c 4.305
_cell_angle_alpha 90.00
_cell_angle_beta 90.00
_cell_angle_gamma 90.00
_space_group_name_H-M_alt 'I 4/m'
_space_group_IT_number 87
_space_group_name_Hall '-I 4'
loop_
_atom_site_label
_atom_site_type_symbol
_atom_site_fract_x
_atom_site_fract_y
_atom_site_fract_z
Nd1 Nd 0.000 0.000 0.000
Nd2 Nd 0.129 0.798 0.500
Sc1 Sc 0.087 0.401 0.500
Ge1 Ge 0.064 0.250 0.000
# * E_form: -0.607 eV/atom
# * volume: 25.58 Å³ per atom

---

No. 6
# NaAg2Au6 | the Alexandria database | PBE | relaxed
data_NaAg2Au6
_cell_length_a 5.664
_cell_length_b 8.024
_cell_length_c 15.468
_cell_angle_alpha 90.00
_cell_angle_beta 90.00
_cell_angle_gamma 90.00
_space_group_name_H-M_alt 'I m m a'
_space_group_IT_number 74
_space_group_name_Hall '-I 2b 2'
loop_
_atom_site_label
_atom_site_type_symbol
_atom_site_fract_x
_atom_site_fract_y
_atom_site_fract_z
Na1 Na 0.000 0.250 0.222
Ag1 Ag 0.249 0.250 0.459
Au1 Au 0.000 0.051 0.592
Au2 Au 0.000 0.054 0.909
Au3 Au 0.250 0.070 0.750
# * E_form: -0.055 eV/atom
# * volume: 19.53 Å³ per atom

---

No. 7
# TcIBrO2 | the Alexandria database | PBE | relaxed
data_TcIBrO2
_cell_length_a 3.960
_cell_length_b 3.960
_cell_length_c 5.877
_cell_angle_alpha 90.00
_cell_angle_beta 90.00
_cell_angle_gamma 90.00
_space_group_name_H-M_alt 'P 4/m m m'
_space_group_IT_number 123
_space_group_name_Hall '-P 4 2'
loop_
_atom_site_label
_atom_site_type_symbol
_atom_site_fract_x
_atom_site_fract_y
_atom_site_fract_z
Tc1 Tc 0.000 0.000 0.000
I1 I 0.000 0.000 0.500
Br1 Br 0.500 0.500 0.500
O1 O 0.000 0.500 0.000
# * E above lowest polymorph: 0 meV/atom
# * volume: 18.43 Å³ per atom
# * energy relative to the elements, uncorrected: -0.352 eV/atom

---

No. 8
# Mn2ZnOs | the Alexandria database | PBE | relaxed
data_Mn2ZnOs
_cell_length_a 2.853
_cell_length_b 4.287
_cell_length_c 8.525
_cell_angle_alpha 90.00
_cell_angle_beta 90.00
_cell_angle_gamma 90.00
_space_group_name_H-M_alt 'I m m 2'
_space_group_IT_number 44
loop_
_space_group_symop_operation_xyz
'x,y,z'
'-x,-y,z'
'-x,y,z'
'x,-y,z'
'x+1/2,y+1/2,z+1/2'
'-x+1/2,-y+1/2,z+1/2'
'-x+1/2,y+1/2,z+1/2'
'x+1/2,-y+1/2,z+1/2'
loop_
_atom_site_label
_atom_site_type_symbol
_atom_site_fract_x
_atom_site_fract_y
_atom_site_fract_z
Mn1 Mn 0.000 0.000 0.000
Mn2 Mn 0.000 0.500 0.262
Zn1 Zn 0.000 0.000 0.506
Os1 Os 0.000 0.500 0.740
# * E_form: 0.158 eV/atom
# * volume: 13.03 Å³ per atom

---

No. 9
# SrMn3B | the Alexandria database | PBE | relaxed
data_SrMn3B
_cell_length_a 4.241
_cell_length_b 4.241
_cell_length_c 4.241
_cell_angle_alpha 90.00
_cell_angle_beta 90.00
_cell_angle_gamma 90.00
_space_group_name_H-M_alt 'P m -3 m'
_space_group_IT_number 221
_space_group_name_Hall '-P 4 2 3'
loop_
_atom_site_label
_atom_site_type_symbol
_atom_site_fract_x
_atom_site_fract_y
_atom_site_fract_z
Sr1 Sr 0.000 0.000 0.000
Mn1 Mn 0.000 0.500 0.500
B1 B 0.500 0.500 0.500
# * E_form: 0.434 eV/atom
# * E above lowest polymorph: 0 meV/atom
# * volume: 15.26 Å³ per atom

---

No. 10
# LaBeAs2 | the Alexandria database | PBE | relaxed
data_LaBeAs2
_cell_length_a 7.036
_cell_length_b 7.036
_cell_length_c 6.934
_cell_angle_alpha 90.00
_cell_angle_beta 90.00
_cell_angle_gamma 90.00
_space_group_name_H-M_alt 'I -4 2 d'
_space_group_IT_number 122
_space_group_name_Hall 'I -4 2bw'
loop_
_atom_site_label
_atom_site_type_symbol
_atom_site_fract_x
_atom_site_fract_y
_atom_site_fract_z
La1 La 0.000 0.000 0.000
Be1 Be 0.000 0.000 0.500
As1 As 0.161 0.250 0.625
# * E_form: -0.695 eV/atom
# * volume: 21.46 Å³ per atom

---

No. 11
# TaTiIn2 | the Alexandria database | PBE | relaxed
data_TaTiIn2
_cell_length_a 7.643
_cell_length_b 7.643
_cell_length_c 5.800
_cell_angle_alpha 90.00
_cell_angle_beta 90.00
_cell_angle_gamma 90.00
_space_group_name_H-M_alt 'I -4 2 d'
_space_group_IT_number 122
_space_group_name_Hall 'I -4 2bw'
loop_
_atom_site_label
_atom_site_type_symbol
_atom_site_fract_x
_atom_site_fract_y
_atom_site_fract_z
Ta1 Ta 0.000 0.000 0.000
Ti1 Ti 0.000 0.000 0.500
In1 In 0.245 0.750 0.625
# * E_form: 0.476 eV/atom
# * E above lowest polymorph: 432 meV/atom
# * volume: 21.18 Å³ per atom

---

No. 12
# CsK9Rb3 | the Alexandria database | PBE | relaxed
data_CsK9Rb3
_cell_length_a 23.120
_cell_length_b 11.853
_cell_length_c 18.024
_cell_angle_alpha 90.00
_cell_angle_beta 122.53
_cell_angle_gamma 90.00
_space_group_name_H-M_alt 'C 1 c 1'
_space_group_IT_number 9
loop_
_space_group_symop_operation_xyz
'x,y,z'
'x,-y,z+1/2'
'x+1/2,y+1/2,z'
'x+1/2,-y+1/2,z+1/2'
loop_
_atom_site_label
_atom_site_type_symbol
_atom_site_fract_x
_atom_site_fract_y
_atom_site_fract_z
Cs1 Cs 0.000 0.140 0.000
K1 K 0.051 0.198 0.360
K2 K 0.074 0.486 0.203
K3 K 0.114 0.465 0.985
K4 K 0.189 0.197 0.664
K5 K 0.209 0.114 0.983
K6 K 0.284 0.450 0.939
K7 K 0.323 0.485 0.221
K8 K 0.350 0.214 0.590
K9 K 0.399 0.098 0.241
Rb1 Rb 0.014 0.129 0.708
Rb2 Rb 0.224 0.174 0.286
Rb3 Rb 0.403 0.143 0.941
# * E_form: 0.019 eV/atom
# * volume: 80.09 Å³ per atom

---

No. 13
# NaAg6Cl8 | the Alexandria database | PBE | relaxed
data_NaAg6Cl8
_cell_length_a 10.6770
_cell_length_b 10.6770
_cell_length_c 4.6278
_cell_angle_alpha 90.00
_cell_angle_beta 90.00
_cell_angle_gamma 120.00
_space_group_name_H-M_alt 'P -3'
_space_group_IT_number 147
loop_
_space_group_symop_operation_xyz
'x,y,z'
'-x,-y,-z'
'-y,x-y,z'
'y,-x+y,-z'
'-x+y,-x,z'
'x-y,x,-z'
loop_
_atom_site_label
_atom_site_type_symbol
_atom_site_fract_x
_atom_site_fract_y
_atom_site_fract_z
Na1 Na 0.0000 0.0000 0.0000
Ag1 Ag 0.1725 0.7760 0.2626
Cl1 Cl 0.0961 0.3004 0.7618
Cl2 Cl 0.3333 0.6667 0.2773
# * volume: 30.46 Å³ per atom
# * energy relative to the elements, uncorrected: -0.568 eV/atom

---

No. 14
# SmHo3Ag4 | the Alexandria database | PBE | relaxed
data_SmHo3Ag4
_cell_length_a 3.615
_cell_length_b 5.177
_cell_length_c 10.347
_cell_angle_alpha 90.00
_cell_angle_beta 90.00
_cell_angle_gamma 90.00
_space_group_name_H-M_alt 'P m m m'
_space_group_IT_number 47
loop_
_space_group_symop_operation_xyz
'x,y,z'
'-x,-y,-z'
'-x,-y,z'
'x,y,-z'
'x,-y,-z'
'-x,y,z'
'-x,y,-z'
'x,-y,z'
loop_
_atom_site_label
_atom_site_type_symbol
_atom_site_fract_x
_atom_site_fract_y
_atom_site_fract_z
Sm1 Sm 0.000 0.000 0.000
Ho1 Ho 0.000 0.000 0.500
Ho2 Ho 0.000 0.500 0.252
Ag1 Ag 0.500 0.000 0.257
Ag2 Ag 0.500 0.500 0.000
Ag3 Ag 0.500 0.500 0.500
# * E_form: -0.312 eV/atom
# * volume: 24.21 Å³ per atom

---

No. 15
# TiBeTcS2 | the Alexandria database | PBE | relaxed
data_TiBeTcS2
_cell_length_a 4.246
_cell_length_b 4.246
_cell_length_c 4.021
_cell_angle_alpha 90.00
_cell_angle_beta 90.00
_cell_angle_gamma 90.00
_space_group_name_H-M_alt 'P 4/m m m'
_space_group_IT_number 123
_space_group_name_Hall '-P 4 2'
loop_
_atom_site_label
_atom_site_type_symbol
_atom_site_fract_x
_atom_site_fract_y
_atom_site_fract_z
Ti1 Ti 0.000 0.000 0.000
Be1 Be 0.500 0.500 0.500
Tc1 Tc 0.500 0.500 0.000
S1 S 0.000 0.500 0.500
# * volume: 14.50 Å³ per atom
# * energy relative to the elements, uncorrected: 0.366 eV/atom

---

No. 16
# Ac6RuPb | the Alexandria database | PBE | relaxed
data_Ac6RuPb
_cell_length_a 8.690
_cell_length_b 11.117
_cell_length_c 7.038
_cell_angle_alpha 90.00
_cell_angle_beta 104.03
_cell_angle_gamma 90.00
_space_group_name_H-M_alt 'C 1 2/m 1'
_space_group_IT_number 12
loop_
_space_group_symop_operation_xyz
'x,y,z'
'-x,-y,-z'
'-x,y,-z'
'x,-y,z'
'x+1/2,y+1/2,z'
'-x+1/2,-y+1/2,-z'
'-x+1/2,y+1/2,-z'
'x+1/2,-y+1/2,z'
loop_
_atom_site_label
_atom_site_type_symbol
_atom_site_fract_x
_atom_site_fract_y
_atom_site_fract_z
Ac1 Ac 0.117 0.184 0.283
Ac2 Ac 0.212 0.500 0.128
Ru1 Ru 0.000 0.000 0.000
Pb1 Pb 0.000 0.500 0.500
# * E_form: -0.130 eV/atom
# * volume: 41.23 Å³ per atom

---

No. 17
# ZrTcSCl2 | the Alexandria database | PBE | relaxed
data_ZrTcSCl2
_cell_length_a 5.031
_cell_length_b 5.031
_cell_length_c 5.013
_cell_angle_alpha 90.00
_cell_angle_beta 90.00
_cell_angle_gamma 90.00
_space_group_name_H-M_alt 'P 4/m m m'
_space_group_IT_number 123
_space_group_name_Hall '-P 4 2'
loop_
_atom_site_label
_atom_site_type_symbol
_atom_site_fract_x
_atom_site_fract_y
_atom_site_fract_z
Zr1 Zr 0.000 0.000 0.000
Tc1 Tc 0.500 0.500 0.500
S1 S 0.000 0.000 0.500
Cl1 Cl 0.000 0.500 0.000
# * E above lowest polymorph: 0 meV/atom
# * volume: 25.38 Å³ per atom
# * energy relative to the elements, uncorrected: -0.026 eV/atom

---

No. 18
# ZrAgS4 | the Alexandria database | PBE | relaxed
data_ZrAgS4
_cell_length_a 6.803
_cell_length_b 7.219
_cell_length_c 7.233
_cell_angle_alpha 60.14
_cell_angle_beta 89.74
_cell_angle_gamma 89.56
_space_group_name_H-M_alt 'P -1'
_space_group_IT_number 2
loop_
_space_group_symop_operation_xyz
'x,y,z'
'-x,-y,-z'
loop_
_atom_site_label
_atom_site_type_symbol
_atom_site_fract_x
_atom_site_fract_y
_atom_site_fract_z
Zr1 Zr 0.247 0.000 0.000
Ag1 Ag 0.001 0.722 0.723
S1 S 0.001 0.095 0.676
S2 S 0.002 0.679 0.091
S3 S 0.498 0.214 0.098
S4 S 0.498 0.310 0.775
# * volume: 25.67 Å³ per atom
# * energy relative to the elements, uncorrected: -0.679 eV/atom

---

No. 19
# Pm4Nd15Al | the Alexandria database | PBE | relaxed
data_Pm4Nd15Al
_cell_length_a 5.117
_cell_length_b 5.117
_cell_length_c 25.917
_cell_angle_alpha 90.00
_cell_angle_beta 90.00
_cell_angle_gamma 90.00
_space_group_name_H-M_alt 'P 4/m m m'
_space_group_IT_number 123
_space_group_name_Hall '-P 4 2'
loop_
_atom_site_label
_atom_site_type_symbol
_atom_site_fract_x
_atom_site_fract_y
_atom_site_fract_z
Pm1 Pm 0.000 0.000 0.101
Pm2 Pm 0.000 0.000 0.305
Nd1 Nd 0.000 0.500 0.000
Nd2 Nd 0.000 0.500 0.204
Nd3 Nd 0.000 0.500 0.407
Nd4 Nd 0.500 0.500 0.102
Nd5 Nd 0.500 0.500 0.306
Nd6 Nd 0.500 0.500 0.500
Al1 Al 0.000 0.000 0.500
# * E_form: -0.011 eV/atom
# * volume: 33.93 Å³ per atom